{"formula": "BaCaLa", "functional": "PBEsol", "state": "optimized geometry", "cell": [[0.000, 4.057, 4.057], [4.057, 0.000, 4.057], [4.057, 4.057, 0.000]], "species": ["Ba", "Ca", "La"], "fractional_positions": [[0.000, 0.000, 0.000], [0.750, 0.750, 0.750], [0.250, 0.250, 0.250]], "dos_ef_per_ev_atom": 1.393, "magnetic_moment_mub_per_fu": 0.0, "e_above_lowest_polymorph_mev_per_atom": 604, "volume_a3_per_cell": 133.53, "mass_density_g_cm3": 3.93}